1.
{"formula": "RbCd6In6", "functional": "PBE-GGA", "state": "optimized geometry", "lattice": [[5.641, 0.000, 2.255], [2.822, 7.583, 1.125], [0.007, -0.184, 8.167]], "species": ["Cd", "Cd", "Cd", "Cd", "Cd", "Cd", "In", "In", "In", "In", "In", "In", "Rb"], "frac_coords": [[0.500, 0.782, 0.218], [0.500, 0.218, 0.782], [0.500, 0.500, 0.000], [0.000, 0.500, 0.000], [0.000, 0.000, 0.500], [0.500, 0.000, 0.500], [0.647, 0.353, 0.353], [0.353, 0.647, 0.647], [0.711, 0.789, 0.789], [0.289, 0.211, 0.211], [0.000, 0.646, 0.354], [0.000, 0.354, 0.646], [0.000, 0.000, 0.000]], "ef_ev_per_atom": -0.02, "dos_at_fermi_per_ev_atom": 0.435}


2.
{"formula": "Rb3Hg2Pd4", "functional": "PBE-GGA", "state": "optimized geometry", "lattice": [[-1.437, -2.591, 3.689], [6.462, -1.079, -1.275], [-0.050, 7.592, 5.313]], "species": ["Pd", "Pd", "Pd", "Pd", "Rb", "Rb", "Rb", "Hg", "Hg"], "frac_coords": [[0.080, 0.160, 0.631], [0.920, 0.840, 0.369], [0.766, 0.533, 0.082], [0.234, 0.467, 0.918], [0.000, 0.000, 0.000], [0.367, 0.735, 0.630], [0.633, 0.265, 0.370], [0.336, 0.672, 0.228], [0.664, 0.328, 0.772]], "ef_ev_per_atom": -0.14, "dos_at_fermi_per_ev_atom": 0.381}


3.
{"formula": "Sc3MoPt", "functional": "PBE-GGA", "state": "optimized geometry", "lattice": [[4.854, 0.000, 0.000], [0.000, 4.854, 0.000], [0.000, 0.000, 4.854]], "species": ["Sc", "Sc", "Sc", "Mo", "Pt"], "frac_coords": [[0.500, 0.000, 0.000], [0.000, 0.500, 0.000], [0.000, 0.000, 0.500], [0.000, 0.000, 0.000], [0.500, 0.500, 0.500]], "e_above_lowest_polymorph_mev_per_atom": 101, "ef_ev_per_atom": 0.40, "dos_at_fermi_per_ev_atom": 0.591}


4.
{"formula": "Re2H2Os", "functional": "PBE-GGA", "state": "optimized geometry", "lattice": [[2.865, 0.000, 0.000], [0.000, 2.865, 0.000], [1.433, 1.433, 6.062]], "species": ["H", "H", "Re", "Re", "Os"], "frac_coords": [[0.750, 0.250, 0.500], [0.250, 0.750, 0.500], [0.350, 0.350, 0.301], [0.650, 0.650, 0.699], [0.000, 0.000, 0.000]], "total_energy_ev_per_cell": -41.451, "dos_at_fermi_per_ev_atom": 0.529}


5.
{"formula": "Al2CrIn2S6", "functional": "PBE-GGA", "state": "optimized geometry", "lattice": [[-3.781, -5.125, -2.529], [-3.155, -4.351, 4.251], [-6.972, 0.259, 0.614]], "species": ["S", "S", "S", "S", "S", "S", "Al", "Al", "Cr", "In", "In"], "frac_coords": [[0.224, 0.761, 0.255], [0.239, 0.776, 0.745], [0.239, 0.239, 0.745], [0.761, 0.761, 0.255], [0.761, 0.224, 0.255], [0.776, 0.239, 0.745], [0.377, 0.377, 0.870], [0.623, 0.623, 0.130], [0.000, 0.000, 0.000], [0.788, 0.788, 0.636], [0.212, 0.212, 0.364]], "e_form_raw_ev_per_atom": -0.468, "dos_at_fermi_per_ev_atom": 0.335}


6.
{"formula": "MnSbSe4", "functional": "PBE-GGA", "state": "optimized geometry", "lattice": [[3.727, 0.000, 0.000], [0.000, 6.551, -0.139], [0.000, -0.111, 6.562]], "species": ["Se", "Se", "Se", "Se", "Mn", "Sb"], "frac_coords": [[0.000, 0.216, 0.366], [0.000, 0.784, 0.634], [0.500, 0.233, 0.806], [0.500, 0.767, 0.194], [0.500, 0.000, 0.500], [0.000, 0.000, 0.000]], "e_form_raw_ev_per_atom": -0.319, "e_above_lowest_polymorph_mev_per_atom": 1, "dos_at_fermi_per_ev_atom": 0.186}


7.
{"formula": "La4Cu2Ni5", "functional": "PBE-GGA", "state": "optimized geometry", "lattice": [[-1.193, 2.602, 2.852], [-6.517, -1.209, -1.624], [-0.116, -5.926, 5.358]], "species": ["La", "La", "La", "La", "Cu", "Cu", "Ni", "Ni", "Ni", "Ni", "Ni"], "frac_coords": [[0.500, 0.763, 0.106], [0.500, 0.274, 0.389], [0.500, 0.237, 0.894], [0.500, 0.726, 0.611], [0.000, 0.917, 0.357], [0.000, 0.083, 0.643], [0.000, 0.449, 0.689], [0.000, 0.551, 0.311], [0.000, 0.500, 0.000], [0.000, 0.807, 0.842], [0.000, 0.193, 0.158]], "ef_ev_per_atom": -0.27, "dos_at_fermi_per_ev_atom": 0.690}


8.
{"formula": "LiNd2Zr", "functional": "PBE-GGA", "state": "optimized geometry", "lattice": [[3.446, 0.002, 0.003], [1.725, 2.984, 0.003], [1.733, 1.000, 11.275]], "species": ["Nd", "Nd", "Zr", "Li"], "frac_coords": [[0.080, 0.080, 0.762], [0.254, 0.254, 0.239], [0.667, 0.667, 0.000], [0.499, 0.499, 0.500]], "e_above_lowest_polymorph_mev_per_atom": 32, "ef_ev_per_atom": 0.14, "dos_at_fermi_per_ev_atom": 1.058}


9.
{"formula": "CsBa2Na2Sb2", "functional": "PBE-GGA", "state": "optimized geometry", "lattice": [[5.553, 0.000, 0.000], [2.777, 4.809, 0.000], [2.777, 1.603, 11.355]], "species": ["Na", "Na", "Sb", "Sb", "Ba", "Ba", "Cs"], "frac_coords": [[0.411, 0.411, 0.766], [0.589, 0.589, 0.234], [0.754, 0.754, 0.737], [0.246, 0.246, 0.263], [0.868, 0.868, 0.395], [0.132, 0.132, 0.605], [0.000, 0.000, 0.000]], "e_form_raw_ev_per_atom": -0.603, "dos_at_fermi_per_ev_atom": 0.197}


10.
{"formula": "Ta2InTcH", "functional": "PBE-GGA", "state": "optimized geometry", "lattice": [[-2.456, 3.237, -0.989], [-2.340, -0.741, 3.386], [2.426, 2.522, 2.229]], "species": ["In", "Ta", "Ta", "H", "Tc"], "frac_coords": [[0.500, 0.500, 0.500], [0.500, 0.000, 0.000], [0.000, 0.500, 0.000], [0.000, 0.000, 0.000], [0.000, 0.000, 0.500]], "total_energy_ev_per_cell": -39.958, "dos_at_fermi_per_ev_atom": 0.606}


11.
{"formula": "BiSbPt2", "functional": "PBE-GGA", "state": "optimized geometry", "lattice": [[0.000, 3.468, 3.468], [3.468, 0.000, 3.468], [3.468, 3.468, 0.000]], "species": ["Pt", "Pt", "Sb", "Bi"], "frac_coords": [[0.750, 0.750, 0.750], [0.250, 0.250, 0.250], [0.000, 0.000, 0.000], [0.500, 0.500, 0.500]], "e_form_raw_ev_per_atom": -0.076, "e_above_lowest_polymorph_mev_per_atom": 293, "dos_at_fermi_per_ev_atom": 0.468}


12.
{"formula": "NaAgSe", "functional": "PBE-GGA", "state": "optimized geometry", "lattice": [[4.288, 0.000, 0.000], [0.000, 4.288, 0.000], [0.000, 0.000, 7.289]], "species": ["Ag", "Ag", "Na", "Na", "Se", "Se"], "frac_coords": [[0.000, 0.500, 0.000], [0.500, 0.000, 0.000], [0.000, 0.000, 0.660], [0.500, 0.500, 0.340], [0.500, 0.500, 0.750], [0.000, 0.000, 0.250]], "e_form_raw_ev_per_atom": -0.615, "dos_at_fermi_per_ev_atom": 0.120}


13.
{"formula": "CsSmPb", "functional": "PBE-GGA", "state": "optimized geometry", "lattice": [[-2.650, 1.730, 4.441], [-5.304, -1.109, 0.616], [0.239, -10.371, 7.531]], "species": ["Pb", "Pb", "Cs", "Cs", "Sm", "Sm"], "frac_coords": [[0.613, 0.613, 0.160], [0.387, 0.387, 0.840], [0.115, 0.115, 0.654], [0.885, 0.885, 0.346], [0.699, 0.699, 0.904], [0.301, 0.301, 0.096]], "ef_ev_per_atom": -0.12, "dos_at_fermi_per_ev_atom": 0.420}


14.
{"formula": "RbBa2IrO6", "functional": "PBE-GGA", "state": "optimized geometry", "lattice": [[-5.036, -3.030, -1.750], [2.717, -5.657, 1.980], [-3.555, 1.103, 8.029]], "species": ["Ir", "Ir", "O", "O", "O", "O", "O", "O", "O", "O", "O", "O", "O", "O", "Ba", "Ba", "Ba", "Ba", "Rb", "Rb"], "frac_coords": [[0.000, 0.500, 0.000], [0.500, 0.000, 0.500], [0.604, 0.059, 0.298], [0.739, 0.344, 0.961], [0.261, 0.656, 0.039], [0.143, 0.257, 0.072], [0.396, 0.941, 0.702], [0.239, 0.156, 0.461], [0.104, 0.441, 0.798], [0.857, 0.743, 0.928], [0.643, 0.243, 0.572], [0.896, 0.559, 0.202], [0.357, 0.757, 0.428], [0.761, 0.844, 0.539], [0.484, 0.443, 0.243], [0.984, 0.057, 0.743], [0.016, 0.943, 0.257], [0.516, 0.557, 0.757], [0.000, 0.500, 0.500], [0.500, 0.000, 0.000]], "e_form_raw_ev_per_atom": -1.656, "dos_at_fermi_per_ev_atom": 0.805}


15.
{"formula": "SrSi2Ni", "functional": "PBE-GGA", "state": "optimized geometry", "lattice": [[-3.301, 1.077, -1.089], [-0.320, -3.084, -2.081], [-2.463, -2.867, 4.630]], "species": ["Ni", "Si", "Si", "Sr"], "frac_coords": [[0.500, 0.625, 0.953], [0.000, 0.125, 0.910], [0.500, 0.125, 0.173], [0.000, 0.625, 0.463]], "e_form_raw_ev_per_atom": -0.233, "dos_at_fermi_per_ev_atom": 0.391}


16.
{"formula": "Cu5Ir3", "functional": "PBE-GGA", "state": "optimized geometry", "lattice": [[-3.801, 3.676, -0.167], [-3.340, -3.358, 2.359], [1.086, 1.275, 3.352]], "species": ["Cu", "Cu", "Cu", "Cu", "Cu", "Ir", "Ir", "Ir"], "frac_coords": [[0.000, 0.500, 0.000], [0.761, 0.761, 0.500], [0.239, 0.239, 0.500], [0.500, 0.000, 0.000], [0.000, 0.000, 0.000], [0.744, 0.256, 0.500], [0.500, 0.500, 0.000], [0.256, 0.744, 0.500]], "e_above_lowest_polymorph_mev_per_atom": 0, "ef_ev_per_atom": 0.17, "dos_at_fermi_per_ev_atom": 1.133}


17.
{"formula": "GaRhSeO5", "functional": "PBE-GGA", "state": "optimized geometry", "lattice": [[5.600, 0.192, -0.385], [-1.452, 5.412, -0.385], [-2.150, -2.904, 6.799]], "species": ["Ga", "Ga", "Se", "Se", "O", "O", "O", "O", "O", "O", "O", "O", "O", "O", "Rh", "Rh"], "frac_coords": [[0.000, 0.000, 0.000], [0.000, 0.000, 0.500], [0.288, 0.712, 0.750], [0.712, 0.288, 0.250], [0.094, 0.641, 0.928], [0.383, 0.223, 0.082], [0.359, 0.906, 0.572], [0.906, 0.359, 0.072], [0.050, 0.950, 0.250], [0.617, 0.777, 0.918], [0.777, 0.617, 0.418], [0.641, 0.094, 0.428], [0.950, 0.050, 0.750], [0.223, 0.383, 0.582], [0.729, 0.271, 0.750], [0.271, 0.729, 0.250]], "e_form_raw_ev_per_atom": -0.813, "dos_at_fermi_per_ev_atom": 0.009}


18.
{"formula": "Cs6HI3Br2", "functional": "PBE-GGA", "state": "optimized geometry", "lattice": [[9.151, 0.003, -0.002], [-4.571, 7.927, -0.002], [-1.530, -2.648, 8.703]], "species": ["Cs", "Cs", "Cs", "Cs", "Cs", "Cs", "Br", "Br", "I", "I", "I", "H"], "frac_coords": [[0.758, 0.758, 0.227], [0.075, 0.393, 0.225], [0.607, 0.925, 0.775], [0.242, 0.242, 0.773], [0.925, 0.607, 0.775], [0.393, 0.075, 0.225], [0.334, 0.666, 0.000], [0.666, 0.334, 0.000], [0.171, 0.829, 0.500], [0.500, 0.500, 0.500], [0.829, 0.171, 0.500], [0.000, 0.000, 0.000]], "total_energy_ev_per_cell": -33.044, "dos_at_fermi_per_ev_atom": 0.000}


19.
{"formula": "ScBeP2Cl", "functional": "PBE-GGA", "state": "optimized geometry", "lattice": [[4.184, 0.000, 0.000], [0.000, 4.184, 0.000], [0.000, 0.000, 4.923]], "species": ["Be", "Sc", "P", "P", "Cl"], "frac_coords": [[0.000, 0.000, 0.000], [0.500, 0.500, 0.500], [0.500, 0.000, 0.000], [0.000, 0.500, 0.000], [0.000, 0.000, 0.500]], "e_form_raw_ev_per_atom": -0.178, "e_above_lowest_polymorph_mev_per_atom": 0, "dos_at_fermi_per_ev_atom": 0.412}


20.
{"formula": "Sm3HoMg3", "functional": "PBE-GGA", "state": "optimized geometry", "lattice": [[-0.893, 6.435, -0.136], [-3.722, -2.833, 4.511], [8.015, 1.074, 7.020]], "species": ["Ho", "Ho", "Mg", "Mg", "Mg", "Mg", "Mg", "Mg", "Sm", "Sm", "Sm", "Sm", "Sm", "Sm"], "frac_coords": [[0.715, 0.715, 0.990], [0.285, 0.285, 0.010], [0.999, 0.999, 0.759], [0.983, 0.500, 0.751], [0.017, 0.500, 0.249], [0.001, 0.001, 0.241], [0.500, 0.983, 0.751], [0.500, 0.017, 0.249], [0.226, 0.774, 0.000], [0.464, 0.464, 0.671], [0.825, 0.175, 0.500], [0.774, 0.226, 0.000], [0.536, 0.536, 0.329], [0.175, 0.825, 0.500]], "e_above_lowest_polymorph_mev_per_atom": 18, "ef_ev_per_atom": 0.09, "dos_at_fermi_per_ev_atom": 1.320}